An optimized crystal structure of NiH2O, computed with PBE with a Hubbard U.

Lattice parameters (Å, degrees): 2.4027 2.4027 21.1220 90.00 90.00 120.00
Space group R-3m (No. 166, hexagonal axes)
One atom of each set of equivalent atoms:
Ni (0.0000, 0.0000, 0.0000) x3
H (0.0000, 0.0000, 0.1513) x6
O (0.0000, 0.0000, 0.5000) x3

The uncorrected energy is -36.97 eV per cell. Its density of states at the Fermi level is 1.672 states/eV per cell. As for the crystal system: trigonal.